one.
Here is K2TaIr after structural relaxation from Alexandria. Energies are from PBE.

abc: 5.2274 5.2274 5.2274
angles: 60.00 60.00 60.00
Fractional coordinates of all 4 atoms:
K1 0.2500 0.2500 0.2500
K2 0.7500 0.7500 0.7500
Ir1 0.5000 0.5000 0.5000
Ta1 0.0000 0.0000 0.0000

## Properties
- volume (Å³/f.u.) = 101.01
- calculated density (Mg/m³) = 7.4
- SG = No. 225
- DOS at the Fermi energy (states/eV/cell) = 12.13

two.
Here is K2TaIr after structural relaxation from Alexandria. Energies are from PBE.

abc: 2.7978 2.7978 11.9411
angles: 90.00 90.00 90.00
Fractional coordinates of all 4 atoms:
Ir1 0.5000 0.5000 0.7500
K1 0.0000 0.0000 0.9689
K2 0.0000 0.0000 0.5311
Ta1 0.5000 0.5000 0.2500

## Properties
- volume (Å³/f.u.) = 93.47
- calculated density (Mg/m³) = 8.0
- SG = No. 123
- DOS at the Fermi energy (states/eV/cell) = 3.77

Of them, one has the lowest stability.

one.
Here is KTaIr3 after structural relaxation from Alexandria. Energies are from PBE.

abc: 4.5877 4.5877 4.5877
angles: 90.00 90.00 90.00
Fractional coordinates of all 5 atoms:
K1 0.0000 0.0000 0.0000
Ir1 0.0000 0.5000 0.0000
Ir2 0.0000 0.0000 0.5000
Ir3 0.5000 0.0000 0.0000
Ta1 0.5000 0.5000 0.5000

## Properties
- volume (Å³/f.u.) = 96.56
- calculated density (Mg/m³) = 13.7
- SG = No. 221
- DOS at the Fermi energy (states/eV/cell) = 7.82

two.
Here is KTaIr3 after structural relaxation from Alexandria. Energies are from PBE.

abc: 4.8910 4.8910 4.8910
angles: 90.00 90.00 90.00
Fractional coordinates of all 5 atoms:
K1 0.5000 0.5000 0.5000
Ir1 0.0000 0.5000 0.0000
Ir2 0.0000 0.0000 0.5000
Ir3 0.5000 0.0000 0.0000
Ta1 0.0000 0.0000 0.0000

## Properties
- volume (Å³/f.u.) = 117.00
- calculated density (Mg/m³) = 11.3
- SG = No. 221
- DOS at the Fermi energy (states/eV/cell) = 4.47

Of them, one has the lowest stability.